(1)
A relaxed structure of CsAc2GaO5. Source: the Alexandria database, functional PBE.

Geometry as CIF:
```
data_CsAc2GaO5
_symmetry_space_group_name_H-M 'P 4/m b m'
_symmetry_Int_Tables_number 127
_symmetry_space_group_name_Hall '-P 4 2ab'
_cell_length_a 7.255
_cell_length_b 7.255
_cell_length_c 6.036
_cell_angle_alpha 90.00
_cell_angle_beta 90.00
_cell_angle_gamma 90.00
loop_
_atom_site_label
_atom_site_type_symbol
_atom_site_fract_x
_atom_site_fract_y
_atom_site_fract_z
Cs1 Cs 0.000 0.000 0.000
Ac1 Ac 0.183 0.317 0.500
Ga1 Ga 0.000 0.500 0.000
O1 O 0.000 0.000 0.500
O2 O 0.127 0.627 0.237
```

Results
The calculation puts the volume at 17.7 A^3/atom. The raw formation energy comes out at -2.471 eV per atom. As for the total energy: -6.5697 eV per atom.


(2)
A relaxed structure of Cs2AcGa2O6. Source: the Alexandria database, functional PBE.

Geometry as CIF:
```
data_Cs2AcGa2O6
_symmetry_space_group_name_H-M 'R -3 m'
_symmetry_Int_Tables_number 166
_symmetry_space_group_name_Hall '-R 3 2"'
_cell_length_a 6.4522
_cell_length_b 6.4522
_cell_length_c 20.2917
_cell_angle_alpha 90.00
_cell_angle_beta 90.00
_cell_angle_gamma 120.00
loop_
_atom_site_label
_atom_site_type_symbol
_atom_site_fract_x
_atom_site_fract_y
_atom_site_fract_z
Cs1 Cs 0.0000 0.0000 0.2068
Ac1 Ac 0.0000 0.0000 0.0000
Ga1 Ga 0.0000 0.0000 0.4100
O1 O 0.0130 0.5065 0.2565
```

Results
The calculation puts the volume at 22.2 A^3/atom. The raw formation energy comes out at -1.874 eV per atom. As for the total energy: -5.6574 eV per atom.